Record 1
The following is a PBE calculation of an optimized crystal structure of NbRe, from the Open Quantum Materials Database.

Output
Volume in Å³/cell: 49.17
Energy relative to the elements in eV per atom: 2.038
E in eV/atom: -9.2200

Unit cell a=4.112 b=4.112 c=4.112 alpha=60.00 beta=60.00 gamma=60.00
Sites, in units of the cell vectors:
Nb1 0.000 0.000 0.000
Re1 0.250 0.250 0.250

***

Record 2
The following is a PBE calculation of an optimized crystal structure of Nb2Re, from the Open Quantum Materials Database.

Output
Volume in Å³/cell: 104.91
Energy relative to the elements in eV per atom: 0.530
E in eV/atom: -10.3402

Unit cell a=5.294 b=5.294 c=5.294 alpha=60.00 beta=60.00 gamma=60.00
Sites, in units of the cell vectors:
Nb1 0.625 0.625 0.125
Nb2 0.625 0.125 0.625
Nb3 0.125 0.625 0.625
Nb4 0.625 0.625 0.625
Re1 0.000 0.000 0.000
Re2 0.250 0.250 0.250

***

Record 3
The following is a PBE calculation of an optimized crystal structure of NbRe, from the Open Quantum Materials Database.

Output
Volume in Å³/cell: 37.02
Energy relative to the elements in eV per atom: 0.972
E in eV/atom: -10.2866

Unit cell a=3.741 b=3.741 c=3.741 alpha=60.00 beta=60.00 gamma=60.00
Sites, in units of the cell vectors:
Nb1 0.000 0.000 0.000
Re1 0.500 0.500 0.500